Material: MnTl2Fe
Method: DFT, GGA-PBE
State: relaxed

Lattice parameters (Å, degrees): 9.1163 9.1163 9.1163 20.51 20.51 20.51
Last column: nearest neighbours and their distance in Å.
Atoms (fractional coordinates):
Fe1 0.2500 0.2500 0.2500  6 Tl 2.87
Mn1 0.7500 0.7500 0.7500  6 Tl 2.96, 6 Mn 3.25
Tl1 0.5023 0.5023 0.5023  3 Fe 2.87, 3 Mn 2.96
Tl2 0.9977 0.9977 0.9977  3 Fe 2.87, 3 Mn 2.96

Calculated values
- formation enthalpy at 0 K (eV per atom) = 0.66
- space group = R-3m, No. 166
- Fermi-level density of states (states/eV/atom) = 1.056
- size of the total moment (μB per cell) = 7.020